A plane-wave DFT calculation with PBE was carried out for an optimized crystal structure of Ce3GaPd12.

Properties
symmetry = No. 123
formation energy from the elements = -0.738 eV/atom

Lattice parameters (Å, degrees): 4.126 4.126 16.213 90.00 90.00 90.00
Site moments in Bohr magnetons follow the coordinates.
Atoms (fractional coordinates):
1 Ce 0.000 0.000 0.240  0.28
2 Ce 0.000 0.000 0.500  0.38
3 Ce 0.000 0.000 0.760  0.28
4 Ga 0.000 0.000 0.000  0.00
5 Pd 0.500 0.500 0.000  -0.01
6 Pd 0.500 0.500 0.243  -0.01
7 Pd 0.500 0.500 0.500  -0.02
8 Pd 0.500 0.500 0.757  -0.01
9 Pd 0.500 0.000 0.115  -0.01
10 Pd 0.500 0.000 0.371  -0.02
11 Pd 0.500 0.000 0.629  -0.02
12 Pd 0.500 0.000 0.885  -0.01
13 Pd 0.000 0.500 0.115  -0.01
14 Pd 0.000 0.500 0.371  -0.02
15 Pd 0.000 0.500 0.629  -0.02
16 Pd 0.000 0.500 0.885  -0.01



A plane-wave DFT calculation with PBE was carried out for an optimized crystal structure of KTlS2.

Properties
formation energy without anion corrections = -0.8 eV/f.u.
symmetry = No. 123
energy above the most stable polymorph in this dataset = 0.435 eV per atom

Lattice parameters (Å, degrees): 7.105 7.105 6.332 55.87 55.87 90.00
Site moments in Bohr magnetons follow the coordinates.
Atoms (fractional coordinates):
1 S 0.750 0.250 0.000  0.21
2 S 0.250 0.750 0.000  0.21
3 S 0.250 0.250 0.000  0.21
4 S 0.750 0.750 0.000  0.21
5 Tl 0.750 0.750 0.500  0.01
6 Tl 0.250 0.250 0.500  0.01
7 K 0.750 0.250 0.500  0.00
8 K 0.250 0.750 0.500  0.00



A plane-wave DFT calculation with PBE was carried out for an optimized crystal structure of NaAg3Rh.

Properties
symmetry = No. 221
energy above the most stable polymorph in this dataset = 0.494 eV per atom
formation energy from the elements = 1.125 eV/atom

Lattice parameters (Å, degrees): 4.714 4.714 4.714 90.00 90.00 90.00
Site moments in Bohr magnetons follow the coordinates.
Atoms (fractional coordinates):
1 Na 0.000 0.000 0.000  0.00
2 Rh 0.500 0.500 0.500  0.41
3 Ag 0.000 0.500 0.000  0.00
4 Ag 0.000 0.000 0.500  -0.01
5 Ag 0.500 0.000 0.000  0.00



A plane-wave DFT calculation with PBE was carried out for an optimized crystal structure of NaBi2Cl6.

Properties
formation energy without anion corrections = -9.2 eV/f.u.
symmetry = No. 136
energy above the most stable polymorph in this dataset = 0.000 eV per atom

Lattice parameters (Å, degrees): 6.378 6.378 13.730 90.00 90.00 90.00
Site moments in Bohr magnetons follow the coordinates.
Atoms (fractional coordinates):
1 Na 0.500 0.500 0.000  0.00
2 Na 0.000 0.000 0.500  0.00
3 Bi 0.500 0.500 0.337  0.30
4 Bi 0.500 0.500 0.663  0.30
5 Bi 0.000 0.000 0.163  0.30
6 Bi 0.000 0.000 0.837  0.30
7 Cl 0.696 0.696 0.163  0.02
8 Cl 0.696 0.696 0.837  0.02
9 Cl 0.683 0.683 0.500  0.01
10 Cl 0.817 0.183 0.000  0.01
11 Cl 0.804 0.196 0.337  0.02
12 Cl 0.804 0.196 0.663  0.02
13 Cl 0.196 0.804 0.337  0.02
14 Cl 0.196 0.804 0.663  0.02
15 Cl 0.183 0.817 0.000  0.01
16 Cl 0.317 0.317 0.500  0.01
17 Cl 0.304 0.304 0.163  0.02
18 Cl 0.304 0.304 0.837  0.02



A plane-wave DFT calculation with PBE was carried out for an optimized crystal structure of Al2Ni4Ge.

Properties
symmetry = No. 139
formation energy from the elements = -0.294 eV/atom

Lattice parameters (Å, degrees): 4.917 4.917 4.917 106.13 111.17 111.17
Atoms (fractional coordinates):
1 Ni 0.500 0.000 0.000
2 Ni 0.500 0.500 0.500
3 Ni 0.000 0.000 0.500
4 Ni 0.000 0.500 0.000
5 Ge 0.000 0.000 0.000
6 Al 0.500 0.500 0.000
7 Al 0.500 0.000 0.500



A plane-wave DFT calculation with PBE was carried out for an optimized crystal structure of PuPb6.

Properties
symmetry = No. 229
formation energy from the elements = 0.593 eV/atom

Lattice parameters (Å, degrees): 7.410 7.410 7.410 109.47 109.47 109.47
Site moments in Bohr magnetons follow the coordinates.
Atoms (fractional coordinates):
1 Pu 0.000 0.000 0.000  -5.97
2 Pb 0.250 0.750 0.500  0.00
3 Pb 0.500 0.750 0.250  0.00
4 Pb 0.250 0.500 0.750  0.00
5 Pb 0.750 0.250 0.500  0.00
6 Pb 0.500 0.250 0.750  0.00
7 Pb 0.750 0.500 0.250  0.00



A plane-wave DFT calculation with PBE was carried out for an optimized crystal structure of Ba6Tl2Ir.

Properties
symmetry = No. 14
formation energy from the elements = -0.248 eV/atom

Lattice parameters (Å, degrees): 8.048 9.457 11.430 90.00 88.32 90.00
Atoms (fractional coordinates):
1 Ba 0.117 0.031 0.247
2 Ba 0.150 0.293 0.560
3 Ba 0.182 0.344 0.943
4 Ba 0.318 0.844 0.557
5 Ba 0.350 0.793 0.940
6 Ba 0.383 0.531 0.253
7 Ba 0.883 0.969 0.753
8 Ba 0.850 0.707 0.440
9 Ba 0.818 0.656 0.057
10 Ba 0.682 0.156 0.443
11 Ba 0.650 0.207 0.060
12 Ba 0.617 0.469 0.747
13 Tl 0.041 0.612 0.743
14 Tl 0.459 0.112 0.757
15 Tl 0.541 0.888 0.243
16 Tl 0.959 0.388 0.257
17 Ir 0.500 0.500 0.000
18 Ir 0.000 0.000 0.500



A plane-wave DFT calculation with PBE was carried out for an optimized crystal structure of CsZrGa2Cl8.

Properties
formation energy without anion corrections = -17.1 eV/f.u.
symmetry = No. 2

Lattice parameters (Å, degrees): 8.002 7.372 10.002 42.87 83.42 82.24
Atoms (fractional coordinates):
1 Cs 0.000 0.000 0.500
2 Zr 0.000 0.000 0.000
3 Ga 0.500 0.216 0.780
4 Ga 0.500 0.784 0.220
5 Cl 0.180 0.600 0.272
6 Cl 0.842 0.726 0.007
7 Cl 0.782 0.941 0.228
8 Cl 0.820 0.400 0.728
9 Cl 0.158 0.274 0.993
10 Cl 0.218 0.059 0.772
11 Cl 0.403 0.700 0.509
12 Cl 0.597 0.300 0.491